(1)
# Be2InSe PBE relaxed
data_Be2InSe
_chemical_formula_sum 'Be4 In2 Se2'
_space_group_name_H-M_alt 'C 1 2/m 1'
_space_group_IT_number 12
_cell_length_a 5.8167
_cell_length_b 3.3801
_cell_length_c 6.9556
_cell_angle_alpha 90.00
_cell_angle_beta 105.70
_cell_angle_gamma 90.00
loop_
_space_group_symop_operation_xyz
'x,y,z'
'-x,-y,-z'
'-x,y,-z'
'x,-y,z'
'x+1/2,y+1/2,z'
'-x+1/2,-y+1/2,-z'
'-x+1/2,y+1/2,-z'
'x+1/2,-y+1/2,z'
loop_
_atom_site_label
_atom_site_type_symbol
_atom_site_fract_x
_atom_site_fract_y
_atom_site_fract_z
Be1 Be 0.2326 0.0000 0.2030
In1 In 0.0000 0.0000 0.5000
Se1 Se 0.0000 0.5000 0.0000
# Magnetization, μB per formula unit: 0.00
# Excess energy over the best structure of this formula in the dataset, eV per atom: 0.013
# Formation energy without anion corrections, eV/atom: 0.16
# V, Å³ per cell: 131.6

=====

(2)
# KCu2I4 PBE relaxed
data_KCu2I4
_chemical_formula_sum 'K2 Cu4 I8'
_space_group_name_H-M_alt 'I 4/m'
_space_group_IT_number 87
_space_group_name_Hall '-I 4'
_cell_length_a 9.3425
_cell_length_b 9.3425
_cell_length_c 6.0401
_cell_angle_alpha 90.00
_cell_angle_beta 90.00
_cell_angle_gamma 90.00
loop_
_atom_site_label
_atom_site_type_symbol
_atom_site_fract_x
_atom_site_fract_y
_atom_site_fract_z
K1 K 0.0000 0.0000 0.0000
Cu1 Cu 0.0000 0.5000 0.2500
I1 I 0.1463 0.3239 0.5000
# Magnetization, μB per formula unit: 0.00
# Excess energy over the best structure of this formula in the dataset, eV per atom: 0.000
# Formation energy without anion corrections, eV/atom: -0.50
# V, Å³ per cell: 527.2

=====

(3)
# Ac2BeZn PBE relaxed
data_Ac2BeZn
_chemical_formula_sum 'Ac2 Be1 Zn1'
_space_group_name_H-M_alt 'P 4/m m m'
_space_group_IT_number 123
_space_group_name_Hall '-P 4 2'
_cell_length_a 3.8267
_cell_length_b 3.8267
_cell_length_c 7.6984
_cell_angle_alpha 90.00
_cell_angle_beta 90.00
_cell_angle_gamma 90.00
loop_
_atom_site_label
_atom_site_type_symbol
_atom_site_fract_x
_atom_site_fract_y
_atom_site_fract_z
Ac1 Ac 0.0000 0.0000 0.2342
Be1 Be 0.5000 0.5000 0.0000
Zn1 Zn 0.5000 0.5000 0.5000
# Magnetization, μB per formula unit: 0.00
# Excess energy over the best structure of this formula in the dataset, eV per atom: 0.000
# V, Å³ per cell: 112.7

=====

(4)
# NdMg11Pd PBE relaxed
data_NdMg11Pd
_chemical_formula_sum 'Nd2 Mg22 Pd2'
_space_group_name_H-M_alt 'C 1 2/m 1'
_space_group_IT_number 12
_cell_length_a 5.6288
_cell_length_b 14.4942
_cell_length_c 7.6950
_cell_angle_alpha 90.00
_cell_angle_beta 110.16
_cell_angle_gamma 90.00
loop_
_space_group_symop_operation_xyz
'x,y,z'
'-x,-y,-z'
'-x,y,-z'
'x,-y,z'
'x+1/2,y+1/2,z'
'-x+1/2,-y+1/2,-z'
'-x+1/2,y+1/2,-z'
'x+1/2,-y+1/2,z'
loop_
_atom_site_label
_atom_site_type_symbol
_atom_site_fract_x
_atom_site_fract_y
_atom_site_fract_z
Nd1 Nd 0.0000 0.0000 0.0000
Mg1 Mg 0.0000 0.0000 0.5000
Mg2 Mg 0.0967 0.3973 0.2203
Mg3 Mg 0.1877 0.1695 0.3609
Mg4 Mg 0.2500 0.2500 0.0000
Pd1 Pd 0.0000 0.5000 0.5000
# Magnetization, μB per formula unit: 0.00
# Electronic total energy, eV per atom: -2.285
# V, Å³ per cell: 589.3

=====

> Which of these has the highest V?

NdMg11Pd